VASP calculation (PBE-GGA) on a relaxed structure of ErFe12.

## Properties
Its volume is 12.291 A^3/atom. The calculated total energy is -8.0255 eV per atom. The calculation puts the energy of formation at -5 meV per atom. As for the size of the total moment: 1.861 μB per atom.

Unit cell a=6.3182 b=6.3182 c=6.3182 alpha=97.68 beta=97.68 gamma=137.11
Closest atoms and distances in Å follow each position.
Fractional coordinates of all 13 atoms:
Er1 0.0000 0.0000 0.0000  20 Fe 2.98-3.16
Fe1 0.5000 0.0000 0.0000  10 Fe 2.31-2.55
Fe2 0.0000 0.5000 0.0000  10 Fe 2.31-2.55
Fe3 0.7254 0.5000 0.2254  10 Fe 2.39-2.65
Fe4 0.5000 0.7254 0.2254  10 Fe 2.39-2.65
Fe5 0.0000 0.3589 0.3589  9 Fe 2.35-2.57
Fe6 0.3589 0.0000 0.3589  9 Fe 2.35-2.57
Fe7 0.0000 0.0000 0.5000  10 Fe 2.31-2.55
Fe8 0.5000 0.5000 0.5000  10 Fe 2.31-2.55
Fe9 0.0000 0.6411 0.6411  9 Fe 2.35-2.57
Fe10 0.6411 0.0000 0.6411  9 Fe 2.35-2.57
Fe11 0.5000 0.2746 0.7746  10 Fe 2.39-2.65
Fe12 0.2746 0.5000 0.7746  10 Fe 2.39-2.65



VASP calculation (PBE-GGA) on a relaxed structure of Gd2CuPd.

## Properties
Its volume is 22.635 A^3/atom. The calculated total energy is -5.1277 eV per atom. The calculation puts the energy of formation at -577 meV per atom. As for the size of the total moment: 0.000 μB per atom.

Unit cell a=4.5413 b=5.6087 c=5.6087 alpha=39.33 beta=90.00 gamma=90.00
Closest atoms and distances in Å follow each position.
Fractional coordinates of all 4 atoms:
Cu1 0.0000 0.4213 0.4213  2 Pd 2.81, 7 Gd 2.97-3.02
Gd1 0.0000 0.1380 0.1380  3 Cu 2.97-2.99, 4 Pd 3.02
Gd2 0.5000 0.8621 0.8621  3 Pd 2.97-2.99, 4 Cu 3.02
Pd1 0.5000 0.5786 0.5786  2 Cu 2.81, 7 Gd 2.97-3.02



VASP calculation (PBE-GGA) on a relaxed structure of LaPr2Cu2Si2Ge2Pd2.

## Properties
Its volume is 20.322 A^3/atom. As for the energy above the lowest structure with this stoichiometry: 42.6 meV/atom. The calculated total energy is -5.4865 eV per atom. As for the size of the total moment: 0.001 μB per atom.

Unit cell a=12.5140 b=12.5140 c=12.5140 alpha=160.50 beta=160.00 gamma=28.07
Closest atoms and distances in Å follow each position.
Fractional coordinates of all 11 atoms:
Cu1 0.5936 0.0936 0.5000  2 Si 2.37, 1 Ge 2.40
Cu2 0.4064 0.9064 0.5000  2 Si 2.37, 1 Ge 2.40
Ge1 0.6926 0.1926 0.5000  1 Cu 2.40, 4 Pd 2.55-2.57
Ge2 0.3074 0.8074 0.5000  1 Cu 2.40, 4 Pd 2.55-2.57
La1 0.0000 0.0000 0.0000  4 Cu 3.14, 8 Si 3.27
Pd1 0.2490 0.2490 0.0000  4 Ge 2.55-2.57
Pd2 0.7510 0.7510 0.0000  4 Ge 2.55-2.57
Pr1 0.8528 0.3528 0.5000  2 Si 3.21, 4 Ge 3.23, 4 Pd 3.25-3.33, 4 Cu 3.30
Pr2 0.1472 0.6472 0.5000  2 Si 3.21, 4 Ge 3.23, 4 Pd 3.25-3.33, 4 Cu 3.30
Si1 0.4498 0.4498 0.0000  2 Cu 2.37, 1 Si 2.44
Si2 0.5502 0.5502 0.0000  2 Cu 2.37, 1 Si 2.44



VASP calculation (PBE-GGA) on a relaxed structure of KHoNiTe3.

## Properties
Its volume is 30.062 A^3/atom. The calculated total energy is -4.1917 eV per atom. As for the size of the total moment: 0.026 μB per atom.

Unit cell a=9.0201 b=9.0201 c=9.2899 alpha=98.92 beta=98.92 gamma=28.92
Closest atoms and distances in Å follow each position.
Fractional coordinates of all 12 atoms:
Ho1 0.8307 0.8307 0.4126  6 Te 2.94-3.09
Ho2 0.1693 0.1693 0.5874  6 Te 2.94-3.09
K1 0.1460 0.1460 0.0777  7 Te 3.39-3.73
K2 0.8540 0.8540 0.9223  7 Te 3.39-3.73
Ni1 0.5020 0.5020 0.3338  4 Te 2.59-2.73
Ni2 0.4980 0.4980 0.6662  4 Te 2.59-2.73
Te1 0.5000 0.5000 0.0000  2 Ni 3.10, 2 Te 3.34, 4 K 3.39
Te2 0.3593 0.3593 0.2053  1 Ni 2.59
Te3 0.6554 0.6554 0.3562  1 Ni 2.65
Te4 0.0000 0.0000 0.5000  4 Ni 2.73, 2 Ho 2.94
Te5 0.3446 0.3446 0.6438  1 Ni 2.65
Te6 0.6407 0.6407 0.7947  1 Ni 2.59



no.,calculated density (g cm⁻³)
1,8.7
2,8.9
3,7.1
4,5.9